[1]
Material: CaHfMoSe2
Method: DFT, PBE-GGA
State: relaxed

The uncorrected formation energy is 0.08 eV per atom. Its distance to the lowest polymorph of the same formula is 0.000 eV per atom. As for the total energy: -29.36 eV for the cell shown. The space group is P4/mmm (123).

Structure (POSCAR):
```
CaHfMoSe2
1.0
5.1292 0.0000 0.0000
0.0000 4.8529 0.0000
0.0000 0.0000 5.1292
Se Mo Ca Hf
2 1 1 1
direct
0.5000 0.0000 0.0000
0.0000 0.0000 0.5000
0.0000 0.0000 0.0000
0.5000 0.5000 0.5000
0.0000 0.5000 0.0000
```


[2]
Material: CaHfSiMo2
Method: DFT, PBE-GGA
State: relaxed

The uncorrected formation energy is 0.82 eV per atom. As for the total energy: -34.95 eV for the cell shown. The space group is P4/mmm (123).

Structure (POSCAR):
```
CaHfSiMo2
1.0
-0.9210 2.1222 4.0149
-4.1382 -2.7663 0.5129
2.4370 -3.2258 2.2641
Mo Hf Si Ca
2 1 1 1
direct
0.5000 0.0000 0.0000
0.0000 0.0000 0.5000
0.5000 0.5000 0.5000
0.0000 0.0000 0.0000
0.0000 0.5000 0.0000
```